No. 1
The following is a DFT calculation (meta-GGA SCAN) of a PBEsol-optimized structure of LiCdFe2.

Summary:
The crystal system is orthorhombic. The density is 7.0 Mg/m³. The energy of formation comes out at 27 kJ per mole of atoms. Its space group is Cmmm (65).

a = 2.600 Å, b = 4.894 Å, c = 4.894 Å
α = 118.59°, β = 90.00°, γ = 90.00°
Each line ends with the local moment (μB).
Fractional positions:
Cd1 0.500 0.500 0.500  -0.10
Fe1 0.000 0.500 0.000  2.88
Fe2 0.000 0.000 0.500  2.88
Li1 0.500 0.000 0.000  -0.06

---

No. 2
The following is a DFT calculation (meta-GGA SCAN) of a PBEsol-optimized structure of LiCd2Fe.

Summary:
The crystal system is trigonal. The density is 7.2 Mg/m³. The energy of formation comes out at 9 kJ per mole of atoms. Its space group is R-3m (166).

a = 2.877 Å, b = 2.877 Å, c = 9.445 Å
α = 81.24°, β = 81.24°, γ = 60.00°
Each line ends with the local moment (μB).
Fractional positions:
Cd1 0.247 0.247 0.258  -0.04
Cd2 0.753 0.753 0.742  -0.04
Fe1 0.500 0.500 0.500  3.02
Li1 0.000 0.000 0.000  -0.01

---

No. 3
The following is a DFT calculation (meta-GGA SCAN) of a PBEsol-optimized structure of LiCdFe2.

Summary:
The crystal system is orthorhombic. The density is 7.0 Mg/m³. The energy of formation comes out at 26 kJ per mole of atoms. Its space group is Pmmm (47).

a = 2.596 Å, b = 4.173 Å, c = 5.050 Å
α = 90.00°, β = 90.00°, γ = 90.00°
Each line ends with the local moment (μB).
Fractional positions:
Cd1 0.500 0.500 0.500  -0.10
Fe1 0.000 0.000 0.765  2.90
Fe2 0.000 0.000 0.235  2.90
Li1 0.500 0.500 0.000  -0.05

---

No. 4
The following is a DFT calculation (meta-GGA SCAN) of a PBEsol-optimized structure of LiCd2Fe.

Summary:
The crystal system is tetragonal. The density is 7.5 Mg/m³. The energy of formation comes out at 0 kJ per mole of atoms. Its space group is P4/mmm (123).

a = 2.955 Å, b = 4.633 Å, c = 4.633 Å
α = 90.00°, β = 90.00°, γ = 90.00°
Each line ends with the local moment (μB).
Fractional positions:
Cd1 0.000 0.000 0.500  -0.06
Cd2 0.000 0.500 0.000  -0.06
Fe1 0.500 0.500 0.500  2.91
Li1 0.500 0.000 0.000  0.00

---

No. 5
The following is a DFT calculation (meta-GGA SCAN) of a PBEsol-optimized structure of LiCd2Fe.

Summary:
The crystal system is cubic. The density is 7.3 Mg/m³. The energy of formation comes out at 15 kJ per mole of atoms. Its space group is F-43m (216).

a = 4.533 Å, b = 4.533 Å, c = 4.533 Å
α = 60.00°, β = 60.00°, γ = 60.00°
Each line ends with the local moment (μB).
Fractional positions:
Cd1 0.000 0.000 0.000  -0.02
Cd2 0.750 0.750 0.750  -0.04
Fe1 0.500 0.500 0.500  3.11
Li1 0.250 0.250 0.250  -0.01

---

No. 6
The following is a DFT calculation (meta-GGA SCAN) of a PBEsol-optimized structure of Mg2CdFe.

Summary:
The crystal system is cubic. The density is 5.2 Mg/m³. The energy of formation comes out at 13 kJ per mole of atoms. Its space group is F-43m (216).

a = 4.622 Å, b = 4.622 Å, c = 4.622 Å
α = 60.00°, β = 60.00°, γ = 60.00°
Each line ends with the local moment (μB).
Fractional positions:
Cd1 0.500 0.500 0.500  -0.04
Fe1 0.250 0.250 0.250  2.72
Mg1 0.000 0.000 0.000  -0.03
Mg2 0.750 0.750 0.750  -0.01

---

No. 7
The following is a DFT calculation (meta-GGA SCAN) of a PBEsol-optimized structure of MgCdFe2.

Summary:
The crystal system is orthorhombic. The density is 7.0 Mg/m³. The energy of formation comes out at 24 kJ per mole of atoms. Its space group is Cmmm (65).

a = 2.715 Å, b = 4.875 Å, c = 4.875 Å
α = 113.37°, β = 90.01°, γ = 90.01°
Each line ends with the local moment (μB).
Fractional positions:
Cd1 0.500 0.000 0.000  -0.10
Fe1 0.000 0.000 0.500  2.84
Fe2 0.000 0.500 0.000  2.84
Mg1 0.500 0.500 0.500  -0.05

---

No. 8
The following is a DFT calculation (meta-GGA SCAN) of a PBEsol-optimized structure of Mg3CdFe.

Summary:
The crystal system is cubic. The density is 3.5 Mg/m³. The energy of formation comes out at 50 kJ per mole of atoms. Its space group is Pm-3m (221).

a = 4.867 Å, b = 4.867 Å, c = 4.867 Å
α = 90.00°, β = 90.00°, γ = 90.00°
Each line ends with the local moment (μB).
Fractional positions:
Mg1 0.000 0.500 0.000  -0.01
Mg2 0.000 0.000 0.500  -0.01
Mg3 0.500 0.000 0.000  -0.01
Fe1 0.000 0.000 0.000  2.49
Cd1 0.500 0.500 0.500  0.00

---

No. 9
The following is a DFT calculation (meta-GGA SCAN) of a PBEsol-optimized structure of Mg2CdFe.

Summary:
The crystal system is trigonal. The density is 5.0 Mg/m³. The energy of formation comes out at 15 kJ per mole of atoms. Its space group is R-3m (166).

a = 2.950 Å, b = 2.950 Å, c = 9.637 Å
α = 81.20°, β = 81.20°, γ = 60.00°
Each line ends with the local moment (μB).
Fractional positions:
Cd1 0.500 0.500 0.500  0.00
Fe1 0.000 0.000 0.000  2.87
Mg1 0.259 0.259 0.223  -0.02
Mg2 0.741 0.741 0.777  -0.02

---

No. 10
The following is a DFT calculation (meta-GGA SCAN) of a PBEsol-optimized structure of Mg2CdFe.

Summary:
The crystal system is orthorhombic. The density is 5.1 Mg/m³. The energy of formation comes out at 9 kJ per mole of atoms. Its space group is Imm2 (44).

a = 3.116 Å, b = 4.683 Å, c = 5.616 Å
α = 114.64°, β = 106.11°, γ = 90.00°
Each line ends with the local moment (μB).
Fractional positions:
Cd1 0.477 0.477 0.954  -0.03
Fe1 0.752 0.252 0.505  2.79
Mg1 0.027 0.027 0.053  -0.02
Mg2 0.244 0.744 0.488  -0.03

---

No. 11
The following is a DFT calculation (meta-GGA SCAN) of a PBEsol-optimized structure of MgCdFe2.

Summary:
The crystal system is orthorhombic. The density is 6.8 Mg/m³. The energy of formation comes out at 17 kJ per mole of atoms. Its space group is Imm2 (44).

a = 2.997 Å, b = 4.531 Å, c = 5.219 Å
α = 115.71°, β = 106.68°, γ = 90.00°
Each line ends with the local moment (μB).
Fractional positions:
Cd1 0.265 0.765 0.530  -0.07
Fe1 0.028 0.028 0.055  2.78
Fe2 0.721 0.221 0.442  2.78
Mg1 0.487 0.487 0.973  -0.04

---

No. 12
The following is a DFT calculation (meta-GGA SCAN) of a PBEsol-optimized structure of MnCd2Fe.

Summary:
The value obtained for the distance to the lowest polymorph of the same formula is 0.084 eV/atom. The crystal system is cubic. The density is 8.9 Mg/m³. The energy of formation comes out at 22 kJ per mole of atoms. Its space group is F-43m (216).

a = 4.457 Å, b = 4.457 Å, c = 4.457 Å
α = 60.00°, β = 60.00°, γ = 60.00°
Each line ends with the local moment (μB).
Fractional positions:
Cd1 0.000 0.000 0.000  -0.06
Cd2 0.750 0.750 0.750  -0.07
Fe1 0.500 0.500 0.500  2.49
Mn1 0.250 0.250 0.250  3.74

---

no.,raw total energy (eV/cell)
1,-67.952
2,-80.963
3,-67.978
4,-81.331
5,-80.706
6,-57.951
7,-70.645
8,-60.889
9,-57.880
10,-58.112
11,-70.933
12,-96.281